# PBE MgSn2Bi, optimized geometry
data_MgSn2Bi
_chemical_formula_sum 'Mg3 Sn6 Bi3'
_space_group_name_H-M_alt 'R 3 m'
_space_group_IT_number 160
_space_group_name_Hall 'R 3 -2"'
_cell_length_a 4.7108
_cell_length_b 4.7108
_cell_length_c 18.6887
_cell_angle_alpha 90.00
_cell_angle_beta 90.00
_cell_angle_gamma 120.00
loop_
_atom_site_label
_atom_site_type_symbol
_atom_site_fract_x
_atom_site_fract_y
_atom_site_fract_z
_atom_site_occupancy
Mg1 Mg 0.0000 0.0000 0.0000 1
Sn1 Sn 0.0000 0.0000 0.4082 1
Sn2 Sn 0.0000 0.0000 0.6029 1
Bi1 Bi 0.0000 0.0000 0.1727 1
# - formation enthalpy at 0 K (kJ per mole of atoms) = 5
# - volume (Å³ per cell) = 359.17
# - electronic total energy (eV per formula unit) = -13.29
# - crystal system = trigonal